No. 1
Entry from Alexandria via LeMat-Bulk: a geometry-optimized Dy8Ir5Au structure (PBE-GGA).

```
Dy8Ir5Au
1.0
7.065 0.000 -2.481
-3.501 6.128 -2.503
-0.064 0.000 7.488
Dy Ir Au
8 5 1
Cartesian
-1.790 4.628 -2.103
1.307 5.459 2.779
0.932 1.500 1.489
-1.818 4.614 1.516
3.106 2.290 4.082
6.553 0.669 2.842
1.366 3.838 -0.884
4.347 1.514 0.293
3.501 0.000 2.503
2.128 0.716 6.218
-1.266 2.308 -0.025
3.068 3.820 1.313
3.072 5.412 -2.499
-0.032 3.064 3.744
```

Properties
- uncorrected energy (eV per atom) = -6.81

No. 2
Entry from Alexandria via LeMat-Bulk: a geometry-optimized DyIrAu structure (PBE-GGA).

```
DyIrAu
1.0
3.577 0.000 0.000
0.000 3.577 0.000
-1.789 -1.789 4.632
Au Dy Ir
1 1 1
Cartesian
0.000 0.000 2.579
1.789 1.789 4.230
1.789 1.789 1.065
```

Properties
- E above lowest polymorph (meV/atom) = 0.0

No. 3
Entry from Alexandria via LeMat-Bulk: a geometry-optimized LaDyIrAu structure (PBE-GGA).

```
LaDyIrAu
1.0
-2.901 -4.179 -0.232
2.027 -4.564 0.996
-1.257 -2.467 4.274
La Au Ir Dy
1 1 1 1
Cartesian
-0.533 -2.803 1.260
0.000 0.000 0.000
-1.066 -5.605 2.519
-1.598 -8.408 3.779
```

Properties
- uncorrected energy (eV per atom) = -6.15

No. 4
Entry from Alexandria via LeMat-Bulk: a geometry-optimized PrDyIrAu structure (PBE-GGA).

```
PrDyIrAu
1.0
-2.199 -2.309 -3.942
2.818 -2.637 -3.288
-0.315 -5.059 -0.122
Pr Dy Au Ir
1 1 1 1
Cartesian
0.228 -7.503 -5.514
0.076 -2.501 -1.838
0.000 0.000 0.000
0.152 -5.002 -3.676
```

Properties
- uncorrected energy (eV per atom) = -6.09

No. 5
Entry from Alexandria via LeMat-Bulk: a geometry-optimized DyPuIrAu structure (PBE-GGA).

```
DyPuIrAu
1.0
4.981 0.000 0.000
2.490 4.314 0.000
2.490 1.438 4.067
Dy Pu Au Ir
1 1 1 1
Cartesian
7.471 4.314 3.050
2.490 1.438 1.017
4.981 2.876 2.033
0.000 0.000 0.000
```

Properties
- uncorrected energy (eV per atom) = -8.34

No. 6
Entry from Alexandria via LeMat-Bulk: a geometry-optimized DyScIrAu structure (PBE-GGA).

```
DyScIrAu
1.0
4.838 0.000 0.000
2.419 4.190 0.000
2.419 1.397 3.950
Sc Ir Dy Au
1 1 1 1
Cartesian
4.838 2.793 1.975
2.419 1.397 0.988
0.000 0.000 0.000
7.257 4.190 2.963
```

Properties
- uncorrected energy (eV per atom) = -6.58

No. 7
Entry from Alexandria via LeMat-Bulk: a geometry-optimized DySnIrAu structure (PBE-GGA).

```
DySnIrAu
1.0
-4.174 2.006 -1.435
-0.974 0.450 -4.728
-3.435 -2.747 -2.040
Sn Dy Au Ir
1 1 1 1
Cartesian
0.000 0.000 0.000
-4.292 -0.145 -4.102
-2.146 -0.073 -2.051
-6.437 -0.218 -6.153
```

Properties
- uncorrected energy (eV per atom) = -5.69

No. 8
Entry from Alexandria via LeMat-Bulk: a geometry-optimized DyTmIrAu structure (PBE-GGA).

```
DyTmIrAu
1.0
3.494 0.000 0.000
0.000 3.494 0.000
0.000 0.000 7.004
Tm Ir Dy Au
1 1 1 1
Cartesian
1.747 1.747 0.636
0.000 0.000 6.036
1.747 1.747 4.377
0.000 0.000 2.454
```

Properties
- E above lowest polymorph (meV/atom) = 0.0

No. 9
Entry from Alexandria via LeMat-Bulk: a geometry-optimized DyTmIrAu structure (PBE-GGA).

```
DyTmIrAu
1.0
4.934 0.000 0.000
2.467 4.273 0.000
2.467 1.424 4.029
Dy Au Tm Ir
1 1 1 1
Cartesian
7.401 4.273 3.022
0.000 0.000 0.000
2.467 1.424 1.007
4.934 2.849 2.014
```

Properties
- E above lowest polymorph (meV/atom) = 13.7

No. 10
Entry from Alexandria via LeMat-Bulk: a geometry-optimized DyYIrAu structure (PBE-GGA).

```
DyYIrAu
1.0
4.972 0.000 0.000
2.486 4.306 0.000
2.486 1.435 4.060
Dy Au Y Ir
1 1 1 1
Cartesian
2.486 1.435 1.015
0.000 0.000 0.000
7.459 4.306 3.045
4.972 2.871 2.030
```

Properties
- uncorrected energy (eV per atom) = -6.62

No. 11
Entry from Alexandria via LeMat-Bulk: a geometry-optimized DyZnIrAu structure (PBE-GGA).

```
DyZnIrAu
1.0
4.716 0.000 0.000
2.358 4.085 0.000
2.358 1.362 3.851
Dy Au Zn Ir
1 1 1 1
Cartesian
4.716 2.723 1.925
7.075 4.085 2.888
0.000 0.000 0.000
2.358 1.362 0.963
```

Properties
- uncorrected energy (eV per atom) = -4.96

No. 12
Entry from Alexandria via LeMat-Bulk: a geometry-optimized DyZrIrAu structure (PBE-GGA).

```
DyZrIrAu
1.0
-1.587 -1.569 4.321
3.184 -1.086 3.512
0.374 2.863 3.913
Au Ir Zr Dy
1 1 1 1
Cartesian
0.985 0.104 5.873
0.000 0.000 0.000
1.478 0.157 8.810
0.493 0.052 2.937
```

Properties
- uncorrected energy (eV per atom) = -7.00

No. 13
Entry from Alexandria via LeMat-Bulk: a geometry-optimized KDyAu2 structure (PBE-GGA).

```
KDyAu2
1.0
3.685 0.000 0.000
0.000 3.685 0.000
0.000 0.000 8.116
K Dy Au
1 1 2
Cartesian
1.843 1.843 4.058
1.843 1.843 0.000
0.000 0.000 6.597
0.000 0.000 1.519
```

Properties
- uncorrected energy (eV per atom) = -3.66